Material: CeTeIr
Method: DFT, PBE
State: relaxed

## Properties
Energy above the most stable polymorph in this dataset   0 meV per atom
Raw formation energy   -79.7 kJ/mol of atoms

Cell: 6.6869 6.6869 6.6869 Å, 90.00 90.00 90.00°
Space group F-43m (No. 216)
Asymmetric unit:
Ce  0.0000  0.0000  0.0000 x4
Te  0.0000  0.0000  0.5000 x4
Ir  0.2500  0.2500  0.7500 x4



Material: BaY2Te
Method: DFT, PBE
State: relaxed

## Properties
Raw formation energy   -29.4 kJ/mol of atoms

Cell: 4.8939 4.8939 11.4247 Å, 90.00 90.00 90.00°
Space group I4/mmm (No. 139)
Asymmetric unit:
Ba  0.0000  0.0000  0.0000 x2
Y  0.0000  0.5000  0.2500 x4
Te  0.0000  0.0000  0.5000 x2



Material: CaZr2In
Method: DFT, PBE
State: relaxed

## Properties
Energy of formation from the pure elements   0.37 eV per formula unit

Cell: 3.3962 5.5401 10.8157 Å, 90.00 90.00 90.00°
Space group Imm2 (No. 44)
Asymmetric unit:
Ca  0.0000  0.0000  0.0000 x2
Zr  0.0000  0.0000  0.4884 x2
Zr  0.0000  0.5000  0.2235 x2
In  0.0000  0.5000  0.7508 x2



Material: NaInSn2F6
Method: DFT, PBE
State: relaxed

## Properties
Raw formation energy   -216.6 kJ/mol of atoms

Cell: 6.0240 6.1418 6.7801 Å, 113.47 94.56 117.35°
Space group P1 (No. 1)
Asymmetric unit:
Na  0.0000  0.0000  0.0000 x1
In  0.5657  0.0609  0.4702 x1
Sn  0.3021  0.5824  0.7220 x1
Sn  0.7905  0.5279  0.1955 x1
F  0.0922  0.9528  0.3276 x1
F  0.1008  0.4596  0.2591 x1
F  0.2979  0.9512  0.8192 x1
F  0.5753  0.7772  0.0523 x1
F  0.6608  0.8123  0.6619 x1
F  0.8735  0.5065  0.8947 x1



Material: Rb2CrWBr
Method: DFT, PBE
State: relaxed

## Properties
Raw formation energy   135.1 kJ/mol of atoms

Cell: 7.1993 7.1993 4.8943 Å, 90.00 90.00 90.00°
Space group P4/mmm (No. 123)
Asymmetric unit:
Rb  0.0000  0.5000  0.0000 x2
Cr  0.0000  0.0000  0.5000 x1
W  0.5000  0.5000  0.0000 x1
Br  0.5000  0.5000  0.5000 x1



Material: ZrReRu2
Method: DFT, PBE
State: relaxed

## Properties
Energy of formation from the pure elements   0.12 eV per formula unit
Energy above the most stable polymorph in this dataset   111 meV per atom

Cell: 9.2666 2.8701 4.9632 Å, 90.00 101.51 90.00°
Space group C2/m (No. 12)
Asymmetric unit:
Zr  0.0000  0.0000  0.0000 x2
Re  0.0000  0.5000  0.5000 x2
Ru  0.2407  0.0000  0.7164 x4